VASP calculation (PBE with a Hubbard U) on a geometry-optimized LiVF4 structure.

## Properties
* excess energy over the best structure of this formula in the dataset: 71 meV per atom
* mass density: 3.0 g cm⁻³
* magnetization: 2.000 μB per formula unit

a = 6.1282 Å, b = 6.1282 Å, c = 5.1202 Å
α = 109.43°, β = 109.43°, γ = 55.24°
With the nearest neighbours (Å) after each atom.
Fractional coordinates of all 12 atoms:
1 Li 0.0000 0.5000 0.0000  4 F 1.99-2.03
2 Li 0.5000 0.0000 0.5000  4 F 1.99-2.03
3 V 0.1657 0.8343 0.7500  6 F 1.89-2.06
4 V 0.8343 0.1657 0.2500  6 F 1.89-2.06
5 F 0.0087 0.7874 0.3253  1 Li 1.99, 2 V 2.04-2.06
6 F 0.2126 0.9913 0.1747  1 Li 1.99, 2 V 2.04-2.06
7 F 0.2291 0.5094 0.7993  1 V 1.89, 1 Li 2.03
8 F 0.4906 0.7709 0.7007  1 V 1.89, 1 Li 2.03
9 F 0.5094 0.2291 0.2993  1 V 1.89, 1 Li 2.03
10 F 0.7709 0.4906 0.2007  1 V 1.89, 1 Li 2.03
11 F 0.7874 0.0087 0.8253  1 Li 1.99, 2 V 2.04-2.06
12 F 0.9913 0.2126 0.6747  1 Li 1.99, 2 V 2.04-2.06